[1]
This record from the Alexandria database describes a relaxed structure of BeNb2PdN. The functional is GGA-PBE.

* energy: -7.89 eV/atom
* DOS(E_F): 4.6 states/eV/cell
* theoretical density: 7965 kg/m3
* total moment: 0.00 μB/atom

```
data_BeNb2PdN
_cell_length_a 4.438
_cell_length_b 4.438
_cell_length_c 3.337
_cell_angle_alpha 90.00
_cell_angle_beta 90.00
_cell_angle_gamma 90.00
_symmetry_space_group_name_H-M 'P 4/m m m'
_symmetry_Int_Tables_number 123
_symmetry_space_group_name_Hall '-P 4 2'
loop_
_atom_site_label
_atom_site_type_symbol
_atom_site_fract_x
_atom_site_fract_y
_atom_site_fract_z
Be1 Be 0.000 0.000 0.000
Nb1 Nb 0.000 0.500 0.500
Pd1 Pd 0.500 0.500 0.000
N1 N 0.000 0.000 0.500
```

[2]
This record from the Alexandria database describes a relaxed structure of RbSr2SiPd. The functional is GGA-PBE.

* energy: -3.15 eV/atom
* DOS(E_F): 2.6 states/eV/cell
* theoretical density: 3698 kg/m3
* total moment: 0.00 μB/atom

```
data_RbSr2SiPd
_cell_length_a 6.078
_cell_length_b 6.078
_cell_length_c 4.804
_cell_angle_alpha 90.00
_cell_angle_beta 90.00
_cell_angle_gamma 90.00
_symmetry_space_group_name_H-M 'P 4/m m m'
_symmetry_Int_Tables_number 123
_symmetry_space_group_name_Hall '-P 4 2'
loop_
_atom_site_label
_atom_site_type_symbol
_atom_site_fract_x
_atom_site_fract_y
_atom_site_fract_z
Rb1 Rb 0.000 0.000 0.000
Sr1 Sr 0.000 0.500 0.500
Si1 Si 0.500 0.500 0.000
Pd1 Pd 0.500 0.500 0.500
```

[3]
This record from the Alexandria database describes a relaxed structure of Ge3PdPt2. The functional is GGA-PBE.

* energy: -5.57 eV/atom
* DOS(E_F): 4.8 states/eV/cell
* theoretical density: 11750 kg/m3
* formation enthalpy at 0 K: -379.9 meV per atom
* total moment: 0.00 μB/atom

```
data_Ge3PdPt2
_cell_length_a 3.825
_cell_length_b 9.117
_cell_length_c 5.791
_cell_angle_alpha 90.00
_cell_angle_beta 90.00
_cell_angle_gamma 90.00
_symmetry_space_group_name_H-M 'P m c 21'
_symmetry_Int_Tables_number 26
loop_
_symmetry_equiv_pos_as_xyz
'x,y,z'
'-x,-y,z+1/2'
'-x,y,z'
'x,-y,z+1/2'
loop_
_atom_site_label
_atom_site_type_symbol
_atom_site_fract_x
_atom_site_fract_y
_atom_site_fract_z
Ge1 Ge 0.000 0.066 0.000
Ge2 Ge 0.000 0.269 0.524
Ge3 Ge 0.500 0.390 0.152
Pd1 Pd 0.500 0.118 0.333
Pt1 Pt 0.000 0.466 0.834
Pt2 Pt 0.500 0.213 0.827
```

[4]
This record from the Alexandria database describes a relaxed structure of Tb2ErSc. The functional is GGA-PBE.

* energy: -5.00 eV/atom
* DOS(E_F): 17.1 states/eV/cell
* theoretical density: 7446 kg/m3
* formation enthalpy at 0 K: 42.8 meV per atom
* total moment: 0.00 μB/atom
* relative energy among the computed polymorphs: 9 meV per atom

```
data_Tb2ErSc
_cell_length_a 3.4853
_cell_length_b 3.4853
_cell_length_c 33.7121
_cell_angle_alpha 90.00
_cell_angle_beta 90.00
_cell_angle_gamma 120.00
_symmetry_space_group_name_H-M 'R -3 m'
_symmetry_Int_Tables_number 166
_symmetry_space_group_name_Hall '-R 3 2"'
loop_
_atom_site_label
_atom_site_type_symbol
_atom_site_fract_x
_atom_site_fract_y
_atom_site_fract_z
Tb1 Tb 0.0000 0.0000 0.2473
Er1 Er 0.0000 0.0000 0.0000
Sc1 Sc 0.0000 0.0000 0.5000
```

[5]
This record from the Alexandria database describes a relaxed structure of CrFeI. The functional is GGA-PBE.

* energy: -6.04 eV/atom
* DOS(E_F): 3.8 states/eV/cell
* theoretical density: 6333 kg/m3
* total moment: 0.98 μB/atom
* relative energy among the computed polymorphs: 334 meV per atom

```
data_CrFeI
_cell_length_a 6.114
_cell_length_b 3.581
_cell_length_c 6.233
_cell_angle_alpha 90.00
_cell_angle_beta 115.56
_cell_angle_gamma 90.00
_symmetry_space_group_name_H-M 'P 1 m 1'
_symmetry_Int_Tables_number 6
loop_
_symmetry_equiv_pos_as_xyz
'x,y,z'
'x,-y,z'
loop_
_atom_site_label
_atom_site_type_symbol
_atom_site_fract_x
_atom_site_fract_y
_atom_site_fract_z
Cr1 Cr 0.000 0.000 0.000
Cr2 Cr 0.161 0.500 0.841
Fe1 Fe 0.686 0.500 0.720
Fe2 Fe 0.816 0.000 0.542
I1 I 0.293 0.000 0.493
I2 I 0.646 0.500 0.146
```

[6]
This record from the Alexandria database describes a relaxed structure of LiScP. The functional is GGA-PBE.

* energy: -5.15 eV/atom
* DOS(E_F): 2.5 states/eV/cell
* theoretical density: 2939 kg/m3
* formation enthalpy at 0 K: -600.2 meV per atom
* total moment: 0.00 μB/atom

```
data_LiScP
_cell_length_a 5.722
_cell_length_b 5.722
_cell_length_c 5.722
_cell_angle_alpha 90.00
_cell_angle_beta 90.00
_cell_angle_gamma 90.00
_symmetry_space_group_name_H-M 'F -4 3 m'
_symmetry_Int_Tables_number 216
_symmetry_space_group_name_Hall 'F -4 2 3'
loop_
_atom_site_label
_atom_site_type_symbol
_atom_site_fract_x
_atom_site_fract_y
_atom_site_fract_z
Li1 Li 0.000 0.000 0.000
Sc1 Sc 0.250 0.250 0.750
P1 P 0.250 0.250 0.250
```

[7]
This record from the Alexandria database describes a relaxed structure of AlV4W. The functional is GGA-PBE.

* energy: -8.84 eV/atom
* DOS(E_F): 42.8 states/eV/cell
* theoretical density: 8068 kg/m3
* formation enthalpy at 0 K: 17.4 meV per atom
* total moment: 0.00 μB/atom
* relative energy among the computed polymorphs: 108 meV per atom

```
data_AlV4W
_cell_length_a 6.989
_cell_length_b 6.989
_cell_length_c 6.989
_cell_angle_alpha 90.00
_cell_angle_beta 90.00
_cell_angle_gamma 90.00
_symmetry_space_group_name_H-M 'F -4 3 m'
_symmetry_Int_Tables_number 216
_symmetry_space_group_name_Hall 'F -4 2 3'
loop_
_atom_site_label
_atom_site_type_symbol
_atom_site_fract_x
_atom_site_fract_y
_atom_site_fract_z
Al1 Al 0.000 0.000 0.000
V1 V 0.124 0.124 0.624
W1 W 0.250 0.250 0.250
```

[8]
This record from the Alexandria database describes a relaxed structure of Ag5Hg2Au5. The functional is GGA-PBE.

* energy: -2.61 eV/atom
* DOS(E_F): 6.6 states/eV/cell
* theoretical density: 14316 kg/m3
* formation enthalpy at 0 K: -1.3 meV per atom
* total moment: 0.00 μB/atom
* relative energy among the computed polymorphs: 5 meV per atom

```
data_Ag5Hg2Au5
_cell_length_a 12.472
_cell_length_b 4.224
_cell_length_c 9.362
_cell_angle_alpha 90.00
_cell_angle_beta 115.09
_cell_angle_gamma 90.00
_symmetry_space_group_name_H-M 'C 1 2/m 1'
_symmetry_Int_Tables_number 12
loop_
_symmetry_equiv_pos_as_xyz
'x,y,z'
'-x,-y,-z'
'-x,y,-z'
'x,-y,z'
'x+1/2,y+1/2,z'
'-x+1/2,-y+1/2,-z'
'-x+1/2,y+1/2,-z'
'x+1/2,-y+1/2,z'
loop_
_atom_site_label
_atom_site_type_symbol
_atom_site_fract_x
_atom_site_fract_y
_atom_site_fract_z
Ag1 Ag 0.000 0.000 0.000
Ag2 Ag 0.169 0.000 0.500
Ag3 Ag 0.249 0.000 0.249
Hg1 Hg 0.084 0.000 0.751
Au1 Au 0.000 0.500 0.500
Au2 Au 0.086 0.500 0.253
Au3 Au 0.166 0.500 0.005
```

[9]
This record from the Alexandria database describes a relaxed structure of Ac6CdAu5. The functional is GGA-PBE.

* energy: -4.19 eV/atom
* DOS(E_F): 12.2 states/eV/cell
* theoretical density: 11171 kg/m3
* formation enthalpy at 0 K: -694.9 meV per atom
* total moment: 0.00 μB/atom

```
data_Ac6CdAu5
_cell_length_a 5.548
_cell_length_b 7.894
_cell_length_c 16.694
_cell_angle_alpha 90.00
_cell_angle_beta 90.00
_cell_angle_gamma 90.00
_symmetry_space_group_name_H-M 'I m m m'
_symmetry_Int_Tables_number 71
_symmetry_space_group_name_Hall '-I 2 2'
loop_
_atom_site_label
_atom_site_type_symbol
_atom_site_fract_x
_atom_site_fract_y
_atom_site_fract_z
Ac1 Ac 0.000 0.239 0.000
Ac2 Ac 0.000 0.255 0.330
Cd1 Cd 0.000 0.000 0.500
Au1 Au 0.000 0.000 0.169
Au2 Au 0.000 0.500 0.155
Au3 Au 0.000 0.500 0.500
```

[10]
This record from the Alexandria database describes a relaxed structure of TmMn3Si3. The functional is GGA-PBE.

* energy: -6.65 eV/atom
* DOS(E_F): 7.8 states/eV/cell
* theoretical density: 5566 kg/m3
* total moment: 0.55 μB/atom

```
data_TmMn3Si3
_cell_length_a 6.295
_cell_length_b 6.295
_cell_length_c 6.295
_cell_angle_alpha 90.00
_cell_angle_beta 90.00
_cell_angle_gamma 90.00
_symmetry_space_group_name_H-M 'P m -3 n'
_symmetry_Int_Tables_number 223
_symmetry_space_group_name_Hall '-P 4n 2 3'
loop_
_atom_site_label
_atom_site_type_symbol
_atom_site_fract_x
_atom_site_fract_y
_atom_site_fract_z
Tm1 Tm 0.000 0.000 0.000
Mn1 Mn 0.000 0.250 0.500
Si1 Si 0.000 0.500 0.250
```

[11]
This record from the Alexandria database describes a relaxed structure of CsPrS2. The functional is GGA-PBE.

* energy: -5.28 eV/atom
* DOS(E_F): 0.0 states/eV/cell
* theoretical density: 4350 kg/m3
* total moment: 0.00 μB/atom
* relative energy among the computed polymorphs: 1 meV per atom

```
data_CsPrS2
_cell_length_a 4.2851
_cell_length_b 4.2851
_cell_length_c 24.3388
_cell_angle_alpha 90.00
_cell_angle_beta 90.00
_cell_angle_gamma 120.00
_symmetry_space_group_name_H-M 'R -3 m'
_symmetry_Int_Tables_number 166
_symmetry_space_group_name_Hall '-R 3 2"'
loop_
_atom_site_label
_atom_site_type_symbol
_atom_site_fract_x
_atom_site_fract_y
_atom_site_fract_z
Cs1 Cs 0.0000 0.0000 0.0000
Pr1 Pr 0.0000 0.0000 0.5000
S1 S 0.0000 0.0000 0.2292
```

[12]
This record from the Alexandria database describes a relaxed structure of LiSn2Pt. The functional is GGA-PBE.

* energy: -4.35 eV/atom
* DOS(E_F): 0.9 states/eV/cell
* theoretical density: 8827 kg/m3
* formation enthalpy at 0 K: -360.1 meV per atom
* total moment: 0.00 μB/atom

```
data_LiSn2Pt
_cell_length_a 3.390
_cell_length_b 3.390
_cell_length_c 7.195
_cell_angle_alpha 90.00
_cell_angle_beta 90.00
_cell_angle_gamma 90.00
_symmetry_space_group_name_H-M 'P 4/m m m'
_symmetry_Int_Tables_number 123
_symmetry_space_group_name_Hall '-P 4 2'
loop_
_atom_site_label
_atom_site_type_symbol
_atom_site_fract_x
_atom_site_fract_y
_atom_site_fract_z
Li1 Li 0.000 0.000 0.000
Sn1 Sn 0.500 0.500 0.276
Pt1 Pt 0.000 0.000 0.500
```